# 1
# GGA-PBE LiMgCrP2, relaxed
data_LiMgCrP2
_cell_length_a 4.361
_cell_length_b 4.361
_cell_length_c 4.093
_cell_angle_alpha 90.00
_cell_angle_beta 90.00
_cell_angle_gamma 90.00
_symmetry_space_group_name_H-M 'P 1'
_symmetry_Int_Tables_number 1
loop_
_symmetry_equiv_pos_as_xyz
'x,y,z'
loop_
_atom_site_label
_atom_site_fract_x
_atom_site_fract_y
_atom_site_fract_z
Li1 0.000 0.000 0.000
Mg1 0.000 0.000 0.500
Cr1 0.500 0.500 0.500
P1 0.000 0.500 0.000
P2 0.500 0.000 0.000
# D(E_F) (states/eV/f.u.): 6.33
# Crystal system: tetragonal
# SG: P4/mmm (123)
# Calculated formation energy (meV per atom): 916

=====

# 2
# GGA-PBE LiMgCr2Pb, relaxed
data_LiMgCr2Pb
_cell_length_a 4.696
_cell_length_b 4.696
_cell_length_c 4.760
_cell_angle_alpha 90.00
_cell_angle_beta 90.00
_cell_angle_gamma 90.00
_symmetry_space_group_name_H-M 'P 1'
_symmetry_Int_Tables_number 1
loop_
_symmetry_equiv_pos_as_xyz
'x,y,z'
loop_
_atom_site_label
_atom_site_fract_x
_atom_site_fract_y
_atom_site_fract_z
Li1 0.000 0.000 0.000
Mg1 0.000 0.000 0.500
Cr1 0.000 0.500 0.000
Cr2 0.500 0.000 0.000
Pb1 0.500 0.500 0.500
# D(E_F) (states/eV/f.u.): 3.02
# Crystal system: tetragonal
# SG: P4/mmm (123)
# Calculated formation energy (meV per atom): 866

=====

# 3
# GGA-PBE LiMgCr2Pd, relaxed
data_LiMgCr2Pd
_cell_length_a 4.969
_cell_length_b 4.969
_cell_length_c 4.923
_cell_angle_alpha 90.00
_cell_angle_beta 90.00
_cell_angle_gamma 90.00
_symmetry_space_group_name_H-M 'P 1'
_symmetry_Int_Tables_number 1
loop_
_symmetry_equiv_pos_as_xyz
'x,y,z'
loop_
_atom_site_label
_atom_site_fract_x
_atom_site_fract_y
_atom_site_fract_z
Li1 0.000 0.000 0.000
Mg1 0.500 0.500 0.000
Cr1 0.000 0.500 0.500
Cr2 0.500 0.000 0.500
Pd1 0.500 0.500 0.500
# D(E_F) (states/eV/f.u.): 3.16
# Crystal system: tetragonal
# SG: P4/mmm (123)
# Calculated formation energy (meV per atom): 690

=====

# 4
# GGA-PBE LiMgCr2Re, relaxed
data_LiMgCr2Re
_cell_length_a 4.063
_cell_length_b 4.063
_cell_length_c 4.252
_cell_angle_alpha 90.00
_cell_angle_beta 90.00
_cell_angle_gamma 90.00
_symmetry_space_group_name_H-M 'P 1'
_symmetry_Int_Tables_number 1
loop_
_symmetry_equiv_pos_as_xyz
'x,y,z'
loop_
_atom_site_label
_atom_site_fract_x
_atom_site_fract_y
_atom_site_fract_z
Li1 0.000 0.000 0.000
Mg1 0.500 0.500 0.500
Cr1 0.000 0.500 0.000
Cr2 0.500 0.000 0.000
Re1 0.000 0.000 0.500
# D(E_F) (states/eV/f.u.): 8.17
# Crystal system: tetragonal
# SG: P4/mmm (123)
# Calculated formation energy (meV per atom): 1430

=====

# 5
# GGA-PBE LiMn2Cr, relaxed
data_LiMn2Cr
_cell_length_a 4.761
_cell_length_b 4.761
_cell_length_c 2.356
_cell_angle_alpha 101.01
_cell_angle_beta 101.01
_cell_angle_gamma 115.58
_symmetry_space_group_name_H-M 'P 1'
_symmetry_Int_Tables_number 1
loop_
_symmetry_equiv_pos_as_xyz
'x,y,z'
loop_
_atom_site_label
_atom_site_fract_x
_atom_site_fract_y
_atom_site_fract_z
Li1 0.000 0.000 0.000
Mn1 0.000 0.500 0.500
Mn2 0.500 0.000 0.500
Cr1 0.500 0.500 0.000
# D(E_F) (states/eV/f.u.): 3.59
# Crystal system: monoclinic
# SG: C2/m (12)
# Calculated formation energy (meV per atom): 312

=====

# 6
# GGA-PBE LiMn2Cr, relaxed
data_LiMn2Cr
_cell_length_a 4.306
_cell_length_b 4.306
_cell_length_c 4.720
_cell_angle_alpha 91.80
_cell_angle_beta 91.80
_cell_angle_gamma 31.84
_symmetry_space_group_name_H-M 'P 1'
_symmetry_Int_Tables_number 1
loop_
_symmetry_equiv_pos_as_xyz
'x,y,z'
loop_
_atom_site_label
_atom_site_fract_x
_atom_site_fract_y
_atom_site_fract_z
Li1 0.000 0.000 0.000
Mn1 0.251 0.251 0.763
Mn2 0.513 0.513 0.496
Cr1 0.751 0.751 0.263
# D(E_F) (states/eV/f.u.): 3.94
# Crystal system: monoclinic
# SG: Cm (8)
# Calculated formation energy (meV per atom): 387